[1]
The following is a DFT calculation (PBE) of a relaxed structure of CsSm2CuTeSe3.

Output
space group	Cmcm

a b c (Å): 7.9006 7.9006 14.7512
angles (deg): 90.00 90.00 148.28
Closest atoms and distances in Å follow each position.
Element x y z (fractional)
Cs1 0.1023 0.8977 0.7500  6 Se 3.53-3.62
Cs2 0.8977 0.1023 0.2500  6 Se 3.53-3.62
Sm1 0.3569 0.6431 0.5656  4 Se 2.88-2.98, 2 Te 3.21
Sm2 0.3569 0.6431 0.9344  4 Se 2.88-2.98, 2 Te 3.21
Sm3 0.6431 0.3569 0.0656  4 Se 2.88-2.98, 2 Te 3.21
Sm4 0.6431 0.3569 0.4344  4 Se 2.88-2.98, 2 Te 3.21
Cu1 0.1661 0.8339 0.2500  4 Se 2.51
Cu2 0.8339 0.1661 0.7500  4 Se 2.51
Te1 0.0000 0.0000 0.0000  4 Sm 3.21
Te2 0.0000 0.0000 0.5000  4 Sm 3.21
Se1 0.2617 0.7383 0.1111  1 Cu 2.51
Se2 0.2617 0.7383 0.3889  1 Cu 2.51
Se3 0.4184 0.5816 0.7500  2 Cu 2.51
Se4 0.5816 0.4184 0.2500  2 Cu 2.51
Se5 0.7383 0.2617 0.6111  1 Cu 2.51
Se6 0.7383 0.2617 0.8889  1 Cu 2.51


[2]
The following is a DFT calculation (PBE) of a relaxed structure of CsSm2Cu3Te4Se.

Output
space group	Cmcm

a b c (Å): 8.0953 8.0953 18.3599
angles (deg): 90.00 90.00 148.73
Closest atoms and distances in Å follow each position.
Element x y z (fractional)
Cs1 0.0684 0.9316 0.7500  6 Te 3.61-3.78, 2 Se 3.75
Cs2 0.9316 0.0684 0.2500  6 Te 3.61-3.78, 2 Se 3.75
Sm1 0.1948 0.8052 0.0965  1 Se 2.89, 5 Te 3.10-3.17
Sm2 0.1948 0.8052 0.4035  1 Se 2.89, 5 Te 3.10-3.17
Sm3 0.8052 0.1948 0.5965  1 Se 2.89, 5 Te 3.10-3.17
Sm4 0.8052 0.1948 0.9035  1 Se 2.89, 5 Te 3.10-3.17
Cu1 0.3363 0.6637 0.7500  2 Se 2.46
Cu2 0.4161 0.5839 0.0219  4 Te 2.62-2.81, 1 Cu 2.74
Cu3 0.4161 0.5839 0.4781  4 Te 2.62-2.81, 1 Cu 2.74
Cu4 0.5839 0.4161 0.5219  4 Te 2.62-2.81, 1 Cu 2.74
Cu5 0.5839 0.4161 0.9781  4 Te 2.62-2.81, 1 Cu 2.74
Cu6 0.6637 0.3363 0.2500  2 Se 2.46
Te1 0.1611 0.8389 0.5700  2 Cu 2.64
Te2 0.1611 0.8389 0.9300  2 Cu 2.64
Te3 0.4447 0.5553 0.6190  2 Cu 2.62-2.81
Te4 0.4447 0.5553 0.8810  2 Cu 2.62-2.81
Te5 0.5553 0.4447 0.1190  2 Cu 2.62-2.81
Te6 0.5553 0.4447 0.3810  2 Cu 2.62-2.81
Te7 0.8389 0.1611 0.0700  2 Cu 2.64
Te8 0.8389 0.1611 0.4300  2 Cu 2.64
Se1 0.2359 0.7641 0.2500  2 Cu 2.46
Se2 0.7641 0.2359 0.7500  2 Cu 2.46


[3]
The following is a DFT calculation (PBE) of a relaxed structure of CsSm2Cu3TeSe4.

Output
space group	Cmcm

a b c (Å): 7.6850 7.6850 18.1491
angles (deg): 90.00 90.00 147.94
Closest atoms and distances in Å follow each position.
Element x y z (fractional)
Cs1 0.0517 0.9483 0.7500  6 Se 3.65-3.71, 2 Cu 3.70, 2 Te 3.70
Cs2 0.9483 0.0517 0.2500  6 Se 3.65-3.71, 2 Cu 3.70, 2 Te 3.70
Sm1 0.1892 0.8108 0.0850  5 Se 2.86-3.03, 1 Te 3.10
Sm2 0.1892 0.8108 0.4150  5 Se 2.86-3.03, 1 Te 3.10
Sm3 0.8108 0.1892 0.5850  5 Se 2.86-3.03, 1 Te 3.10
Sm4 0.8108 0.1892 0.9150  5 Se 2.86-3.03, 1 Te 3.10
Cu1 0.3469 0.6531 0.7500  2 Te 2.50
Cu2 0.4144 0.5856 0.0302  4 Se 2.54, 1 Cu 2.76
Cu3 0.4144 0.5856 0.4698  4 Se 2.54, 1 Cu 2.76
Cu4 0.5856 0.4144 0.5302  4 Se 2.54, 1 Cu 2.76
Cu5 0.5856 0.4144 0.9698  4 Se 2.54, 1 Cu 2.76
Cu6 0.6531 0.3469 0.2500  2 Te 2.50
Te1 0.2428 0.7572 0.2500  2 Cu 2.50
Te2 0.7572 0.2428 0.7500  2 Cu 2.50
Se1 0.1654 0.8346 0.5714  2 Cu 2.54
Se2 0.1654 0.8346 0.9286  2 Cu 2.54
Se3 0.4424 0.5576 0.6076  2 Cu 2.54
Se4 0.4424 0.5576 0.8924  2 Cu 2.54
Se5 0.5576 0.4424 0.1076  2 Cu 2.54
Se6 0.5576 0.4424 0.3924  2 Cu 2.54
Se7 0.8346 0.1654 0.0714  2 Cu 2.54
Se8 0.8346 0.1654 0.4286  2 Cu 2.54


[4]
The following is a DFT calculation (PBE) of a relaxed structure of CsCuSnTe2Se.

Output
space group	Cmcm

a b c (Å): 8.6524 8.6524 11.4768
angles (deg): 90.00 90.00 152.61
Closest atoms and distances in Å follow each position.
Element x y z (fractional)
Cs1 0.2243 0.7757 0.7500  2 Se 3.73, 6 Te 3.87-3.98, 2 Cs 4.10
Cs2 0.7757 0.2243 0.2500  2 Se 3.73, 6 Te 3.87-3.98, 2 Cs 4.10
Cu1 0.0435 0.9565 0.2500  2 Se 2.47, 2 Te 2.63
Cu2 0.9565 0.0435 0.7500  2 Se 2.47, 2 Te 2.63
Sn1 0.5000 0.5000 0.0000  2 Se 2.94, 4 Te 2.98
Sn2 0.5000 0.5000 0.5000  2 Se 2.94, 4 Te 2.98
Te1 0.1236 0.8764 0.0531  1 Cu 2.63
Te2 0.1236 0.8764 0.4469  1 Cu 2.63
Te3 0.8764 0.1236 0.5531  1 Cu 2.63
Te4 0.8764 0.1236 0.9469  1 Cu 2.63
Se1 0.4610 0.5390 0.2500  2 Cu 2.47
Se2 0.5390 0.4610 0.7500  2 Cu 2.47


What uncorrected energy values result from the calculations? In sequence: -78.20, -94.91, -100.14, -41.73 eV per cell.